1.
A plane-wave DFT calculation with PBE was carried out for a relaxed structure of K2CeZrSe4.

```
K2CeZrSe4
1.0
4.139 0.000 0.000
0.000 7.163 0.129
0.000 -2.516 7.713
K Zr Se Ce
2 1 4 1
Direct
0.500 0.000 0.500
0.000 0.500 0.500
0.500 0.500 0.000
0.000 0.281 0.797
0.500 0.254 0.210
0.000 0.719 0.203
0.500 0.746 0.790
0.000 0.000 0.000
```

Values from the calculation:
Formation energy (no corrections), eV per atom: -1.488


2.
A plane-wave DFT calculation with PBE was carried out for a relaxed structure of K3Ce2SmTe6.

```
K3Ce2SmTe6
1.0
8.022 -0.001 0.000
-4.010 6.948 0.000
-1.338 -2.317 8.228
Te Ce K Sm
6 2 3 1
Direct
0.071 0.401 0.213
0.259 0.259 0.787
0.401 0.071 0.213
0.741 0.741 0.213
0.599 0.929 0.787
0.929 0.599 0.787
0.667 0.333 0.000
0.333 0.667 0.000
0.167 0.833 0.500
0.500 0.500 0.500
0.833 0.167 0.500
0.000 0.000 0.000
```

Values from the calculation:
Formation energy (no corrections), eV per atom: -1.368


3.
A plane-wave DFT calculation with PBE was carried out for a relaxed structure of KCe2Sm3Te6.

```
KCe2Sm3Te6
1.0
-0.238 -3.503 -2.754
7.543 -3.543 3.855
-7.298 -1.976 6.759
Te Ce Sm K
6 2 3 1
Direct
0.998 0.737 0.997
0.672 0.082 0.345
0.002 0.263 0.003
0.328 0.918 0.655
0.665 0.585 0.329
0.335 0.415 0.671
0.831 0.661 0.661
0.169 0.339 0.339
0.837 0.175 0.674
0.163 0.825 0.326
0.500 0.500 0.000
0.500 0.000 0.000
```

Values from the calculation:
Formation energy (no corrections), eV per atom: -1.365


4.
A plane-wave DFT calculation with PBE was carried out for a relaxed structure of KCe2SmTe4.

```
KCe2SmTe4
1.0
-3.054 3.326 0.187
-5.807 -5.374 0.764
-1.127 -1.470 7.743
Te Sm Ce K
4 1 2 1
Direct
0.000 0.759 0.736
0.500 0.249 0.742
0.500 0.751 0.258
0.000 0.241 0.264
0.000 0.500 0.500
0.500 0.000 0.500
0.000 0.000 0.000
0.500 0.500 0.000
```

Values from the calculation:
Formation energy (no corrections), eV per atom: -1.326


5.
A plane-wave DFT calculation with PBE was carried out for a relaxed structure of K3CeSm2Te6.

```
K3CeSm2Te6
1.0
-0.763 -5.517 -5.709
7.166 1.498 3.166
-3.470 -4.421 6.594
Te K Sm Ce
6 3 2 1
Direct
0.592 0.929 0.787
0.929 0.592 0.787
0.408 0.071 0.213
0.734 0.734 0.213
0.071 0.408 0.213
0.266 0.266 0.787
0.500 0.500 0.500
0.166 0.834 0.500
0.834 0.166 0.500
0.667 0.333 0.000
0.333 0.667 0.000
0.000 0.000 0.000
```

Values from the calculation:
Formation energy (no corrections), eV per atom: -1.387


6.
A plane-wave DFT calculation with PBE was carried out for a relaxed structure of K2CeSmTe4.

```
K2CeSmTe4
1.0
4.620 0.000 0.000
0.000 7.998 0.138
0.000 -2.805 8.185
K Ce Te Sm
2 1 4 1
Direct
0.500 0.000 0.500
0.000 0.500 0.500
0.000 0.000 0.000
0.000 0.266 0.787
0.500 0.241 0.214
0.500 0.759 0.786
0.000 0.734 0.213
0.500 0.500 0.000
```

Values from the calculation:
Formation energy (no corrections), eV per atom: -1.379


7.
A plane-wave DFT calculation with PBE was carried out for a relaxed structure of K4Ce3SmTe8.

```
K4Ce3SmTe8
1.0
9.280 0.000 0.000
0.000 9.811 0.364
-4.640 -4.635 6.566
Ce Te Sm K
3 8 1 4
Direct
0.000 0.500 0.500
0.500 0.500 0.000
0.500 0.500 0.500
0.764 0.287 0.528
0.738 0.714 0.476
0.764 0.287 0.023
0.741 0.713 0.977
0.259 0.287 0.023
0.236 0.713 0.472
0.236 0.713 0.977
0.262 0.286 0.524
0.000 0.500 0.000
0.000 0.000 0.000
0.500 0.000 0.500
0.000 0.000 0.500
0.500 0.000 0.000
```

Values from the calculation:
Formation energy (no corrections), eV per atom: -1.362


8.
A plane-wave DFT calculation with PBE was carried out for a relaxed structure of K3CeSm3Te8.

```
K3CeSm3Te8
1.0
9.066 0.000 0.000
-4.533 7.851 -0.032
0.000 -5.201 8.394
K Te Sm Ce
3 8 3 1
Direct
0.000 0.000 0.000
0.500 0.500 0.000
0.000 0.500 0.000
0.263 0.525 0.288
0.234 0.469 0.708
0.234 0.973 0.708
0.739 0.973 0.708
0.737 0.475 0.712
0.261 0.027 0.292
0.766 0.027 0.292
0.766 0.531 0.292
0.500 0.500 0.500
0.500 0.000 0.500
0.000 0.500 0.500
0.000 0.000 0.500
```

Values from the calculation:
Formation energy (no corrections), eV per atom: -1.359


9.
A plane-wave DFT calculation with PBE was carried out for a relaxed structure of K3Ce3SmTe8.

```
K3Ce3SmTe8
1.0
9.098 -0.001 0.000
-4.550 7.449 2.561
0.000 -2.770 8.102
Te K Ce Sm
8 3 3 1
Direct
0.333 0.666 0.294
0.333 0.167 0.295
0.165 0.833 0.705
0.667 0.833 0.705
0.834 0.668 0.289
0.835 0.167 0.295
0.667 0.334 0.706
0.166 0.332 0.711
0.000 0.000 0.000
0.500 0.500 0.000
0.000 0.500 0.000
0.000 0.500 0.500
0.500 0.000 0.500
0.500 0.500 0.500
0.000 0.000 0.500
```

Values from the calculation:
Formation energy (no corrections), eV per atom: -1.324


10.
A plane-wave DFT calculation with PBE was carried out for a relaxed structure of KSrCe2Te4.

```
KSrCe2Te4
1.0
4.606 0.000 0.000
0.000 8.300 -0.289
0.000 2.800 7.500
Te K Ce Sr
4 1 2 1
Direct
0.500 0.771 0.238
0.500 0.229 0.762
0.000 0.236 0.250
0.000 0.764 0.750
0.000 0.500 0.500
0.500 0.000 0.500
0.000 0.000 0.000
0.500 0.500 0.000
```

Values from the calculation:
Formation energy (no corrections), eV per atom: -1.414